# NiAg2 (PBE-GGA, optimized geometry)
data_NiAg2
_chemical_formula_sum 'Ni2 Ag4'
_space_group_name_H-M_alt 'P 42/m n m'
_space_group_IT_number 136
_space_group_name_Hall '-P 4n 2n'
_cell_length_a 5.546
_cell_length_b 5.546
_cell_length_c 3.983
_cell_angle_alpha 90.00
_cell_angle_beta 90.00
_cell_angle_gamma 90.00
loop_
_atom_site_label
_atom_site_fract_x
_atom_site_fract_y
_atom_site_fract_z
Ni1 0.000 0.000 0.000
Ag1 0.188 0.188 0.500
# magnetization	0.00	μB per formula unit
# calculated total energy	-2.97	eV/atom
# formation energy	73.73	kJ/mol of atoms
# energy above the most stable polymorph in this dataset	0.513	eV per atom